A plane-wave DFT calculation with PBE with a Hubbard U was carried out for a relaxed Li7Mn2Co3O12 crystal.

## Properties
Crystal system: triclinic
Total magnetic moment in μB per cell: 16.00
Distance to the lowest polymorph of the same formula in meV per atom: 29

a = 4.989 Å, b = 5.895 Å, c = 7.819 Å
α = 79.09°, β = 78.50°, γ = 73.73°
Space group P-1 (No. 2)
Asymmetric unit:
Li (0.000, 0.000, 0.000) (multiplicity 1)
Li (0.000, 0.500, 0.000) (multiplicity 1)
Li (0.005, 0.164, 0.318) (multiplicity 2)
Li (0.484, 0.668, 0.841) (multiplicity 2)
Li (0.500, 0.000, 0.500) (multiplicity 1)
Mn (0.003, 0.665, 0.329) (multiplicity 2)
Co (0.494, 0.161, 0.844) (multiplicity 2)
Co (0.500, 0.500, 0.500) (multiplicity 1)
O (0.232, 0.491, 0.746) (multiplicity 2)
O (0.238, 0.355, 0.433) (multiplicity 2)
O (0.241, 0.035, 0.742) (multiplicity 2)
O (0.250, 0.667, 0.109) (multiplicity 2)
O (0.252, 0.803, 0.417) (multiplicity 2)
O (0.278, 0.159, 0.083) (multiplicity 2)